(1)
Here is crystalline KCuTePtS2 at its relaxed geometry from OQMD via LeMat-Bulk. Energies are from PBE.

```
data_KCuTePtS2
_chemical_formula_sum 'K2 Cu2 Te2 Pt2 S4'
_cell_length_a 7.810
_cell_length_b 7.810
_cell_length_c 10.591
_cell_angle_alpha 90.00
_cell_angle_beta 90.00
_cell_angle_gamma 152.82
_symmetry_space_group_name_H-M 'P 1'
_symmetry_Int_Tables_number 1
loop_
_symmetry_equiv_pos_as_xyz
'x,y,z'
loop_
_atom_site_label
_atom_site_fract_x
_atom_site_fract_y
_atom_site_fract_z
_atom_site_occupancy
K1 0.235 0.765 0.750 1
K2 0.765 0.235 0.250 1
Cu1 0.443 0.557 0.250 1
Cu2 0.557 0.443 0.750 1
Te1 0.068 0.932 0.250 1
Te2 0.932 0.068 0.750 1
Pt1 0.000 0.000 0.000 1
Pt2 0.000 0.000 0.500 1
S1 0.400 0.600 0.046 1
S2 0.400 0.600 0.454 1
S3 0.600 0.400 0.546 1
S4 0.600 0.400 0.954 1
```

Results
* energy: -49.64 eV/cell

---

(2)
Here is crystalline BaRe2O6 at its relaxed geometry from OQMD via LeMat-Bulk. Energies are from PBE.

```
data_BaRe2O6
_chemical_formula_sum 'Ba2 Re4 O12'
_cell_length_a 3.842
_cell_length_b 6.062
_cell_length_c 10.376
_cell_angle_alpha 90.00
_cell_angle_beta 90.07
_cell_angle_gamma 90.00
_symmetry_space_group_name_H-M 'P 1'
_symmetry_Int_Tables_number 1
loop_
_symmetry_equiv_pos_as_xyz
'x,y,z'
loop_
_atom_site_label
_atom_site_fract_x
_atom_site_fract_y
_atom_site_fract_z
_atom_site_occupancy
Ba1 0.000 0.000 0.000 1
Ba2 0.000 0.500 0.500 1
Re1 0.500 0.075 0.355 1
Re2 0.500 0.425 0.855 1
Re3 0.500 0.575 0.145 1
Re4 0.500 0.925 0.645 1
O1 0.000 0.079 0.354 1
O2 0.000 0.421 0.854 1
O3 0.000 0.579 0.146 1
O4 0.000 0.921 0.646 1
O5 0.500 0.131 0.786 1
O6 0.500 0.197 0.533 1
O7 0.500 0.303 0.033 1
O8 0.500 0.369 0.286 1
O9 0.500 0.631 0.714 1
O10 0.500 0.697 0.967 1
O11 0.500 0.803 0.467 1
O12 0.500 0.869 0.214 1
```

Results
* energy: -146.53 eV/cell
* polymorph energy (0 for the lowest one): 0.000 eV per atom

---

(3)
Here is crystalline Li3LuO4 at its relaxed geometry from OQMD via LeMat-Bulk. Energies are from PBE.

```
data_Li3LuO4
_chemical_formula_sum 'Li6 Lu2 O8'
_cell_length_a 5.009
_cell_length_b 6.071
_cell_length_c 5.424
_cell_angle_alpha 90.00
_cell_angle_beta 108.73
_cell_angle_gamma 90.00
_symmetry_space_group_name_H-M 'P 1'
_symmetry_Int_Tables_number 1
loop_
_symmetry_equiv_pos_as_xyz
'x,y,z'
loop_
_atom_site_label
_atom_site_fract_x
_atom_site_fract_y
_atom_site_fract_z
_atom_site_occupancy
Li1 0.000 0.102 0.250 1
Li2 0.000 0.354 0.750 1
Li3 0.000 0.646 0.250 1
Li4 0.000 0.898 0.750 1
Li5 0.500 0.128 0.750 1
Li6 0.500 0.872 0.250 1
Lu1 0.500 0.358 0.250 1
Lu2 0.500 0.642 0.750 1
O1 0.245 0.379 0.506 1
O2 0.245 0.621 0.006 1
O3 0.253 0.109 0.993 1
O4 0.253 0.891 0.493 1
O5 0.747 0.109 0.507 1
O6 0.747 0.891 0.007 1
O7 0.755 0.379 0.994 1
O8 0.755 0.621 0.494 1
```

Results
* energy: -91.85 eV/cell
* polymorph energy (0 for the lowest one): 0.000 eV per atom

---

(4)
Here is crystalline YCoCuSi at its relaxed geometry from OQMD via LeMat-Bulk. Energies are from PBE.

```
data_YCoCuSi
_chemical_formula_sum 'Y4 Co4 Cu4 Si4'
_cell_length_a 6.240
_cell_length_b 6.240
_cell_length_c 6.240
_cell_angle_alpha 90.00
_cell_angle_beta 90.00
_cell_angle_gamma 90.00
_symmetry_space_group_name_H-M 'P 1'
_symmetry_Int_Tables_number 1
loop_
_symmetry_equiv_pos_as_xyz
'x,y,z'
loop_
_atom_site_label
_atom_site_fract_x
_atom_site_fract_y
_atom_site_fract_z
_atom_site_occupancy
Y1 0.000 0.000 0.000 1
Y2 0.000 0.500 0.500 1
Y3 0.500 0.000 0.500 1
Y4 0.500 0.500 0.000 1
Co1 0.250 0.250 0.750 1
Co2 0.250 0.750 0.250 1
Co3 0.750 0.250 0.250 1
Co4 0.750 0.750 0.750 1
Cu1 0.250 0.250 0.250 1
Cu2 0.250 0.750 0.750 1
Cu3 0.750 0.250 0.750 1
Cu4 0.750 0.750 0.250 1
Si1 0.000 0.000 0.500 1
Si2 0.000 0.500 0.000 1
Si3 0.500 0.000 0.000 1
Si4 0.500 0.500 0.500 1
```

Results
* energy: -94.04 eV/cell
* polymorph energy (0 for the lowest one): 0.000 eV per atom

---

(5)
Here is crystalline RbEr at its relaxed geometry from OQMD via LeMat-Bulk. Energies are from PBE.

```
data_RbEr
_chemical_formula_sum 'Rb3 Er3'
_cell_length_a 3.705
_cell_length_b 3.705
_cell_length_c 21.807
_cell_angle_alpha 90.00
_cell_angle_beta 90.00
_cell_angle_gamma 120.00
_symmetry_space_group_name_H-M 'P 1'
_symmetry_Int_Tables_number 1
loop_
_symmetry_equiv_pos_as_xyz
'x,y,z'
loop_
_atom_site_label
_atom_site_fract_x
_atom_site_fract_y
_atom_site_fract_z
_atom_site_occupancy
Rb1 0.000 0.000 0.000 1
Rb2 0.333 0.667 0.667 1
Rb3 0.667 0.333 0.333 1
Er1 0.000 0.000 0.500 1
Er2 0.333 0.667 0.167 1
Er3 0.667 0.333 0.833 1
```

Results
* energy: -12.70 eV/cell

---

(6)
Here is crystalline NiAg2Pb at its relaxed geometry from OQMD via LeMat-Bulk. Energies are from PBE.

```
data_NiAg2Pb
_chemical_formula_sum 'Ni4 Ag8 Pb4'
_cell_length_a 6.653
_cell_length_b 6.653
_cell_length_c 6.653
_cell_angle_alpha 90.00
_cell_angle_beta 90.00
_cell_angle_gamma 90.00
_symmetry_space_group_name_H-M 'P 1'
_symmetry_Int_Tables_number 1
loop_
_symmetry_equiv_pos_as_xyz
'x,y,z'
loop_
_atom_site_label
_atom_site_fract_x
_atom_site_fract_y
_atom_site_fract_z
_atom_site_occupancy
Ni1 0.000 0.000 0.000 1
Ni2 0.000 0.500 0.500 1
Ni3 0.500 0.000 0.500 1
Ni4 0.500 0.500 0.000 1
Ag1 0.000 0.000 0.500 1
Ag2 0.000 0.500 0.000 1
Ag3 0.250 0.250 0.250 1
Ag4 0.250 0.750 0.750 1
Ag5 0.500 0.000 0.000 1
Ag6 0.500 0.500 0.500 1
Ag7 0.750 0.250 0.750 1
Ag8 0.750 0.750 0.250 1
Pb1 0.250 0.250 0.750 1
Pb2 0.250 0.750 0.250 1
Pb3 0.750 0.250 0.250 1
Pb4 0.750 0.750 0.750 1
```

Results
* energy: -56.40 eV/cell

---

(7)
Here is crystalline Sm2InSn at its relaxed geometry from OQMD via LeMat-Bulk. Energies are from PBE.

```
data_Sm2InSn
_chemical_formula_sum 'Sm4 In2 Sn2'
_cell_length_a 4.360
_cell_length_b 4.647
_cell_length_c 11.659
_cell_angle_alpha 90.00
_cell_angle_beta 90.00
_cell_angle_gamma 90.00
_symmetry_space_group_name_H-M 'P 1'
_symmetry_Int_Tables_number 1
loop_
_symmetry_equiv_pos_as_xyz
'x,y,z'
loop_
_atom_site_label
_atom_site_fract_x
_atom_site_fract_y
_atom_site_fract_z
_atom_site_occupancy
Sm1 0.000 0.000 0.000 1
Sm2 0.000 0.500 0.500 1
Sm3 0.500 0.000 0.275 1
Sm4 0.500 0.500 0.775 1
In1 0.000 0.000 0.724 1
In2 0.000 0.500 0.224 1
Sn1 0.500 0.000 0.552 1
Sn2 0.500 0.500 0.052 1
```

Results
* energy: -37.45 eV/cell

---

(8)
Here is crystalline LiBeInCu at its relaxed geometry from OQMD via LeMat-Bulk. Energies are from PBE.

```
data_LiBeInCu
_chemical_formula_sum 'Li4 Be4 In4 Cu4'
_cell_length_a 5.965
_cell_length_b 5.965
_cell_length_c 5.965
_cell_angle_alpha 90.00
_cell_angle_beta 90.00
_cell_angle_gamma 90.00
_symmetry_space_group_name_H-M 'P 1'
_symmetry_Int_Tables_number 1
loop_
_symmetry_equiv_pos_as_xyz
'x,y,z'
loop_
_atom_site_label
_atom_site_fract_x
_atom_site_fract_y
_atom_site_fract_z
_atom_site_occupancy
Li1 0.000 0.000 0.000 1
Li2 0.000 0.500 0.500 1
Li3 0.500 0.000 0.500 1
Li4 0.500 0.500 0.000 1
Be1 0.000 0.000 0.500 1
Be2 0.000 0.500 0.000 1
Be3 0.500 0.000 0.000 1
Be4 0.500 0.500 0.500 1
In1 0.250 0.250 0.750 1
In2 0.250 0.750 0.250 1
In3 0.750 0.250 0.250 1
In4 0.750 0.750 0.750 1
Cu1 0.250 0.250 0.250 1
Cu2 0.250 0.750 0.750 1
Cu3 0.750 0.250 0.750 1
Cu4 0.750 0.750 0.250 1
```

Results
* energy: -47.85 eV/cell
* polymorph energy (0 for the lowest one): 0.000 eV per atom

---

(9)
Here is crystalline DyTm2PdPt2Pb3 at its relaxed geometry from OQMD via LeMat-Bulk. Energies are from PBE.

```
data_DyTm2PdPt2Pb3
_chemical_formula_sum 'Dy1 Tm2 Pd1 Pt2 Pb3'
_cell_length_a 3.905
_cell_length_b 7.759
_cell_length_c 7.759
_cell_angle_alpha 120.20
_cell_angle_beta 90.00
_cell_angle_gamma 90.00
_symmetry_space_group_name_H-M 'P 1'
_symmetry_Int_Tables_number 1
loop_
_symmetry_equiv_pos_as_xyz
'x,y,z'
loop_
_atom_site_label
_atom_site_fract_x
_atom_site_fract_y
_atom_site_fract_z
_atom_site_occupancy
Dy1 0.000 0.000 0.000 1
Tm1 0.000 0.187 0.594 1
Tm2 0.000 0.594 0.187 1
Pd1 0.000 0.592 0.592 1
Pt1 0.500 0.263 0.927 1
Pt2 0.500 0.927 0.263 1
Pb1 0.500 0.331 0.331 1
Pb2 0.500 0.594 0.857 1
Pb3 0.500 0.857 0.594 1
```

Results
* energy: -49.21 eV/cell

---

(10)
Here is crystalline LuHfBi2 at its relaxed geometry from OQMD via LeMat-Bulk. Energies are from PBE.

```
data_LuHfBi2
_chemical_formula_sum 'Lu4 Hf4 Bi8'
_cell_length_a 7.544
_cell_length_b 7.544
_cell_length_c 7.544
_cell_angle_alpha 90.00
_cell_angle_beta 90.00
_cell_angle_gamma 90.00
_symmetry_space_group_name_H-M 'P 1'
_symmetry_Int_Tables_number 1
loop_
_symmetry_equiv_pos_as_xyz
'x,y,z'
loop_
_atom_site_label
_atom_site_fract_x
_atom_site_fract_y
_atom_site_fract_z
_atom_site_occupancy
Lu1 0.000 0.000 0.000 1
Lu2 0.000 0.500 0.500 1
Lu3 0.500 0.000 0.500 1
Lu4 0.500 0.500 0.000 1
Hf1 0.250 0.250 0.750 1
Hf2 0.250 0.750 0.250 1
Hf3 0.750 0.250 0.250 1
Hf4 0.750 0.750 0.750 1
Bi1 0.000 0.000 0.500 1
Bi2 0.000 0.500 0.000 1
Bi3 0.250 0.250 0.250 1
Bi4 0.250 0.750 0.750 1
Bi5 0.500 0.000 0.000 1
Bi6 0.500 0.500 0.500 1
Bi7 0.750 0.250 0.750 1
Bi8 0.750 0.750 0.250 1
```

Results
* energy: -87.42 eV/cell

---

(11)
Here is crystalline Y4Lu2Ga3N3 at its relaxed geometry from OQMD via LeMat-Bulk. Energies are from PBE.

```
data_Y4Lu2Ga3N3
_chemical_formula_sum 'Y8 Lu4 Ga6 N6'
_cell_length_a 6.020
_cell_length_b 6.020
_cell_length_c 15.004
_cell_angle_alpha 101.71
_cell_angle_beta 101.71
_cell_angle_gamma 59.96
_symmetry_space_group_name_H-M 'P 1'
_symmetry_Int_Tables_number 1
loop_
_symmetry_equiv_pos_as_xyz
'x,y,z'
loop_
_atom_site_label
_atom_site_fract_x
_atom_site_fract_y
_atom_site_fract_z
_atom_site_occupancy
Y1 0.037 0.196 0.098 1
Y2 0.130 0.301 0.402 1
Y3 0.196 0.037 0.598 1
Y4 0.301 0.130 0.902 1
Y5 0.699 0.870 0.098 1
Y6 0.804 0.963 0.402 1
Y7 0.870 0.699 0.598 1
Y8 0.963 0.804 0.902 1
Lu1 0.356 0.527 0.081 1
Lu2 0.473 0.644 0.419 1
Lu3 0.527 0.356 0.581 1
Lu4 0.644 0.473 0.919 1
Ga1 0.145 0.855 0.250 1
Ga2 0.312 0.417 0.750 1
Ga3 0.417 0.312 0.250 1
Ga4 0.583 0.688 0.750 1
Ga5 0.688 0.583 0.250 1
Ga6 0.855 0.145 0.750 1
N1 0.000 0.500 0.000 1
N2 0.169 0.666 0.500 1
N3 0.334 0.831 0.000 1
N4 0.500 0.000 0.500 1
N5 0.666 0.169 0.000 1
N6 0.831 0.334 0.500 1
```

Results
* energy: -163.97 eV/cell

---

(12)
Here is crystalline Pm2AsO4 at its relaxed geometry from OQMD via LeMat-Bulk. Energies are from PBE.

```
data_Pm2AsO4
_chemical_formula_sum 'Pm4 As2 O8'
_cell_length_a 6.901
_cell_length_b 6.901
_cell_length_c 6.901
_cell_angle_alpha 60.00
_cell_angle_beta 60.00
_cell_angle_gamma 60.00
_symmetry_space_group_name_H-M 'P 1'
_symmetry_Int_Tables_number 1
loop_
_symmetry_equiv_pos_as_xyz
'x,y,z'
loop_
_atom_site_label
_atom_site_fract_x
_atom_site_fract_y
_atom_site_fract_z
_atom_site_occupancy
Pm1 0.000 0.000 0.000 1
Pm2 0.000 0.000 0.500 1
Pm3 0.000 0.500 0.000 1
Pm4 0.500 0.000 0.000 1
As1 0.375 0.375 0.375 1
As2 0.625 0.625 0.625 1
O1 0.228 0.757 0.757 1
O2 0.243 0.243 0.243 1
O3 0.243 0.243 0.772 1
O4 0.243 0.772 0.243 1
O5 0.757 0.228 0.757 1
O6 0.757 0.757 0.228 1
O7 0.757 0.757 0.757 1
O8 0.772 0.243 0.243 1
```

Results
* energy: -98.69 eV/cell